A.
CaGa4W2O12: relaxed, GGA+U.

Structure (CIF):
```
data_CaGa4W2O12
_chemical_formula_sum 'Ca1 Ga4 W2 O12'
_space_group_name_H-M_alt 'P -4'
_space_group_IT_number 81
_space_group_name_Hall 'P -4'
_cell_length_a 4.848
_cell_length_b 4.848
_cell_length_c 9.207
_cell_angle_alpha 90.00
_cell_angle_beta 90.00
_cell_angle_gamma 90.00
loop_
_atom_site_label
_atom_site_type_symbol
_atom_site_fract_x
_atom_site_fract_y
_atom_site_fract_z
Ca1 Ca 0.000 0.000 0.000
Ga1 Ga 0.000 0.500 0.580
Ga2 Ga 0.000 0.500 0.897
W1 W 0.000 0.500 0.258
O1 O 0.182 0.277 0.753
O2 O 0.198 0.312 0.418
O3 O 0.215 0.335 0.088
```

## Properties
* volume: 216.4 Å³ per cell

***

B.
CaGa4W2O12: relaxed, GGA+U.

Structure (CIF):
```
data_CaGa4W2O12
_chemical_formula_sum 'Ca1 Ga4 W2 O12'
_space_group_name_H-M_alt 'P 1'
_space_group_IT_number 1
_space_group_name_Hall 'P 1'
_cell_length_a 5.246
_cell_length_b 5.502
_cell_length_c 8.993
_cell_angle_alpha 85.15
_cell_angle_beta 84.14
_cell_angle_gamma 73.84
loop_
_atom_site_label
_atom_site_type_symbol
_atom_site_fract_x
_atom_site_fract_y
_atom_site_fract_z
Ca1 Ca 0.000 0.000 0.000
Ga1 Ga 0.111 0.357 0.487
Ga2 Ga 0.168 0.383 0.160
Ga3 Ga 0.579 0.710 0.995
Ga4 Ga 0.585 0.857 0.684
W1 W 0.124 0.463 0.809
W2 W 0.534 0.775 0.335
O1 O 0.260 0.126 0.326
O2 O 0.315 0.181 0.668
O3 O 0.315 0.667 0.157
O4 O 0.321 0.603 0.455
O5 O 0.342 0.222 0.979
O6 O 0.362 0.709 0.836
O7 O 0.675 0.908 0.478
O8 O 0.681 0.888 0.149
O9 O 0.820 0.837 0.833
O10 O 0.858 0.490 0.324
O11 O 0.863 0.492 0.650
O12 O 0.876 0.429 0.009
```

## Properties
* volume: 247.6 Å³ per cell

***

B (7.3 kJ/mol of atoms below the next structure)